# GGA-PBE ErTmMg2Pb2, relaxed
data_ErTmMg2Pb2
_symmetry_space_group_name_H-M 'P 1'
_symmetry_Int_Tables_number 1
_cell_length_a 4.4081
_cell_length_b 4.4081
_cell_length_c 15.9064
_cell_angle_alpha 90.00
_cell_angle_beta 90.00
_cell_angle_gamma 90.00
loop_
_symmetry_equiv_pos_as_xyz
'x,y,z'
loop_
_atom_site_label
_atom_site_type_symbol
_atom_site_fract_x
_atom_site_fract_y
_atom_site_fract_z
Er1 Er 0.0000 0.0000 0.0000
Er2 Er 0.5000 0.5000 0.5000
Tm1 Tm 0.0000 0.0000 0.3309
Tm2 Tm 0.5000 0.5000 0.8309
Mg1 Mg 0.0000 0.5000 0.1656
Mg2 Mg 0.0000 0.5000 0.6656
Mg3 Mg 0.5000 0.0000 0.1656
Mg4 Mg 0.5000 0.0000 0.6656
Pb1 Pb 0.0000 0.0000 0.5269
Pb2 Pb 0.0000 0.0000 0.8040
Pb3 Pb 0.5000 0.5000 0.0269
Pb4 Pb 0.5000 0.5000 0.3040
# - SG: I4mm, No. 107
# - Energy: -3.633 eV/atom



# GGA-PBE BaHgPO, relaxed
data_BaHgPO
_symmetry_space_group_name_H-M 'P 1'
_symmetry_Int_Tables_number 1
_cell_length_a 3.7551
_cell_length_b 6.3995
_cell_length_c 8.0621
_cell_angle_alpha 90.00
_cell_angle_beta 90.00
_cell_angle_gamma 90.00
loop_
_symmetry_equiv_pos_as_xyz
'x,y,z'
loop_
_atom_site_label
_atom_site_type_symbol
_atom_site_fract_x
_atom_site_fract_y
_atom_site_fract_z
Ba1 Ba 0.0000 0.1551 0.0000
Ba2 Ba 0.0000 0.8449 0.5000
Hg1 Hg 0.5000 0.3634 0.3705
Hg2 Hg 0.5000 0.6366 0.8705
P1 P 0.5000 0.3256 0.6816
P2 P 0.5000 0.6744 0.1816
O1 O 0.0000 0.1483 0.3095
O2 O 0.0000 0.8517 0.8095
# - ΔE to the lowest computed polymorph: 209 meV per atom
# - SG: Pmc2_1, No. 26